[1]
A plane-wave DFT calculation with GGA-PBE was carried out for a geometry-optimized Pm6Rh2AuBr3 structure.

Cell: 7.2277 7.2277 8.0958 Å, 98.52 98.52 120.03°
Positions (direct):
1 Pm 0.9339 0.5837 0.8011
2 Pm 0.7154 0.7154 0.1985
3 Pm 0.0661 0.4163 0.1989
4 Pm 0.5837 0.9339 0.8011
5 Pm 0.2846 0.2846 0.8015
6 Pm 0.4163 0.0661 0.1989
7 Rh 0.3333 0.6667 0.0000
8 Rh 0.6667 0.3333 0.0000
9 Au 0.0000 0.0000 0.0000
10 Br 0.1680 0.8320 0.5000
11 Br 0.8320 0.1680 0.5000
12 Br 0.5000 0.5000 0.5000

Computed properties:
As for the symmetry: C2/m (12). The value obtained for the formation energy from raw total energies is -1048 meV/atom.



[2]
A plane-wave DFT calculation with GGA-PBE was carried out for a geometry-optimized CePaCuRe structure.

Cell: 4.8977 4.8977 4.8977 Å, 60.00 60.00 60.00°
Positions (direct):
1 Re 0.2500 0.2500 0.2500
2 Pa 0.5000 0.5000 0.5000
3 Cu 0.7500 0.7500 0.7500
4 Ce 0.0000 0.0000 0.0000

Computed properties:
As for the symmetry: F-43m (216). The value obtained for the formation energy is 0.074 eV per atom.



[3]
A plane-wave DFT calculation with GGA-PBE was carried out for a geometry-optimized ScB structure.

Cell: 8.8419 8.8419 3.1167 Å, 90.00 90.00 90.00°
Positions (direct):
1 Sc 0.6726 0.6726 0.5000
2 Sc 0.6726 0.3273 0.5000
3 Sc 0.3273 0.6726 0.5000
4 Sc 0.3273 0.3273 0.5000
5 Sc 0.2942 0.0000 0.0000
6 Sc 0.7058 0.0000 0.0000
7 Sc 0.0000 0.7058 0.0000
8 Sc 0.0000 0.2942 0.0000
9 B 0.8998 0.5000 0.5000
10 B 0.1002 0.5000 0.5000
11 B 0.5000 0.1002 0.5000
12 B 0.5000 0.8998 0.5000
13 B 0.8110 0.5000 0.0000
14 B 0.1890 0.5000 0.0000
15 B 0.5000 0.1890 0.0000
16 B 0.5000 0.8110 0.0000

Computed properties:
As for the symmetry: P4/mmm (123). The value obtained for the formation energy is -0.458 eV per atom.



[4]
A plane-wave DFT calculation with GGA-PBE was carried out for a geometry-optimized NbCoSe4 structure.

Cell: 5.3994 7.2382 7.1400 Å, 121.64 90.00 90.00°
Positions (direct):
1 Nb 0.0000 0.5000 0.5000
2 Nb 0.5000 0.0000 0.5000
3 Co 0.5000 0.5000 0.0000
4 Co 0.0000 0.0000 0.0000
5 Se 0.2029 0.8097 0.1676
6 Se 0.2971 0.3097 0.1676
7 Se 0.7842 0.6714 0.3077
8 Se 0.2842 0.8286 0.6923
9 Se 0.7158 0.1714 0.3077
10 Se 0.2158 0.3286 0.6923
11 Se 0.7029 0.6903 0.8324
12 Se 0.7971 0.1903 0.8324

Computed properties:
As for the symmetry: P2_1/c (14). The value obtained for the formation energy from raw total energies is -369 meV/atom.



[5]
A plane-wave DFT calculation with GGA-PBE was carried out for a geometry-optimized TbZnAu structure.

Cell: 4.5734 5.6811 5.7928 Å, 74.13 66.75 66.26°
Positions (direct):
1 Tb 0.5314 0.2235 0.7137
2 Tb 0.4686 0.7765 0.2863
3 Zn 0.8409 0.2021 0.1160
4 Zn 0.1591 0.7979 0.8840
5 Au 0.1764 0.3541 0.2931
6 Au 0.8236 0.6459 0.7069

Computed properties:
As for the symmetry: C2/m (12). The value obtained for the formation energy is -0.653 eV per atom.



[6]
A plane-wave DFT calculation with GGA-PBE was carried out for a geometry-optimized Cd4CoPb structure.

Cell: 5.7467 5.7467 5.7467 Å, 60.00 60.00 60.00°
Positions (direct):
1 Cd 0.8726 0.3758 0.3758
2 Cd 0.3758 0.3758 0.8726
3 Cd 0.3758 0.8726 0.3758
4 Cd 0.3758 0.3758 0.3758
5 Co 0.7500 0.7500 0.7500
6 Pb 0.0000 0.0000 0.0000

Computed properties:
As for the symmetry: F-43m (216). The value obtained for the formation energy is 0.410 eV per atom.